Compound: NiAg2F6
Source: the Alexandria database
Functional: PBE with a Hubbard U
Structure: relaxed

Values from the calculation:
Calculated density (kg/m³): 5120
Crystal system: tetragonal
Energy (eV per cell): -64.91
Distance to the lowest polymorph of the same formula (kcal/mol of atoms): 0.00

Cell: 4.9457 4.9457 10.3014 Å, 90.00 90.00 90.00°
Last column: nearest neighbours and their distance in Å.
Element x y z (fractional)
Ni: 0.0000 0.0000 0.0000  6 F 1.98-2.05
Ni: 0.5000 0.5000 0.5000  6 F 1.98-2.05
Ag: 0.0000 0.0000 0.3351  6 F 2.18-2.31
Ag: 0.0000 0.0000 0.6649  6 F 2.18-2.31
Ag: 0.5000 0.5000 0.1649  6 F 2.18-2.31
Ag: 0.5000 0.5000 0.8351  6 F 2.18-2.31
F: 0.1896 0.1896 0.1518  1 Ni 2.05, 1 Ag 2.18
F: 0.1896 0.1896 0.8482  1 Ni 2.05, 1 Ag 2.18
F: 0.2171 0.2171 0.5000  1 Ni 1.98
F: 0.2829 0.7171 0.0000  1 Ni 1.98
F: 0.3104 0.6896 0.3482  1 Ni 2.05, 1 Ag 2.18
F: 0.3104 0.6896 0.6518  1 Ni 2.05, 1 Ag 2.18
F: 0.6896 0.3104 0.3482  1 Ni 2.05, 1 Ag 2.18
F: 0.6896 0.3104 0.6518  1 Ni 2.05, 1 Ag 2.18
F: 0.7171 0.2829 0.0000  1 Ni 1.98
F: 0.7829 0.7829 0.5000  1 Ni 1.98
F: 0.8104 0.8104 0.1518  1 Ni 2.05, 1 Ag 2.18
F: 0.8104 0.8104 0.8482  1 Ni 2.05, 1 Ag 2.18